[1]
# PBE-GGA HfMgNi10, optimized geometry
data_HfMgNi10
_space_group_name_H-M_alt 'P 1'
_space_group_IT_number 1
_space_group_name_Hall 'P 1'
_cell_length_a 3.9743
_cell_length_b 4.7351
_cell_length_c 8.1469
_cell_angle_alpha 90.00
_cell_angle_beta 90.00
_cell_angle_gamma 90.00
loop_
_atom_site_label
_atom_site_type_symbol
_atom_site_fract_x
_atom_site_fract_y
_atom_site_fract_z
Hf1 Hf 0.0000 0.0000 0.0000
Mg1 Mg 0.0000 0.5000 0.5000
Ni1 Ni 0.0000 0.0000 0.3324
Ni2 Ni 0.0000 0.0000 0.6676
Ni3 Ni 0.0000 0.5000 0.1665
Ni4 Ni 0.0000 0.5000 0.8335
Ni5 Ni 0.5000 0.0000 0.5000
Ni6 Ni 0.5000 0.2468 0.2461
Ni7 Ni 0.5000 0.2468 0.7539
Ni8 Ni 0.5000 0.5000 0.0000
Ni9 Ni 0.5000 0.7532 0.2461
Ni10 Ni 0.5000 0.7532 0.7539
# - symmetry = Pmmm
# - M_tot (Bohr magnetons per cell) = 3.1
# - calculated total energy (eV/atom) = -5.94

[2]
# PBE-GGA HfMg3Ni, optimized geometry
data_HfMg3Ni
_space_group_name_H-M_alt 'P 1'
_space_group_IT_number 1
_space_group_name_Hall 'P 1'
_cell_length_a 4.6832
_cell_length_b 4.6832
_cell_length_c 4.6832
_cell_angle_alpha 90.00
_cell_angle_beta 90.00
_cell_angle_gamma 90.00
loop_
_atom_site_label
_atom_site_type_symbol
_atom_site_fract_x
_atom_site_fract_y
_atom_site_fract_z
Hf1 Hf 0.0000 0.0000 0.0000
Mg1 Mg 0.0000 0.5000 0.5000
Mg2 Mg 0.5000 0.0000 0.5000
Mg3 Mg 0.5000 0.5000 0.0000
Ni1 Ni 0.5000 0.5000 0.5000
# - symmetry = Pm-3m
# - M_tot (Bohr magnetons per cell) = 0.0
# - calculated total energy (eV/atom) = -3.74

[3]
# PBE-GGA HfMg2Ni, optimized geometry
data_HfMg2Ni
_space_group_name_H-M_alt 'P 1'
_space_group_IT_number 1
_space_group_name_Hall 'P 1'
_cell_length_a 4.6377
_cell_length_b 4.6377
_cell_length_c 4.6377
_cell_angle_alpha 60.00
_cell_angle_beta 60.00
_cell_angle_gamma 60.00
loop_
_atom_site_label
_atom_site_type_symbol
_atom_site_fract_x
_atom_site_fract_y
_atom_site_fract_z
Hf1 Hf 0.0000 0.0000 0.0000
Mg1 Mg 0.2500 0.2500 0.2500
Mg2 Mg 0.7500 0.7500 0.7500
Ni1 Ni 0.5000 0.5000 0.5000
# - symmetry = Fm-3m
# - M_tot (Bohr magnetons per cell) = 0.0
# - calculated total energy (eV/atom) = -4.49